Compound: NaCd2Sn2
Source: the Alexandria database
Functional: PBEsol
Structure: relaxed

The structure in CIF format:
```
data_NaCd2Sn2
_chemical_formula_sum 'Na2 Cd4 Sn4'
_symmetry_space_group_name_H-M 'P 1'
_symmetry_Int_Tables_number 1
_cell_length_a 3.5446
_cell_length_b 8.4828
_cell_length_c 8.4828
_cell_angle_alpha 90.00
_cell_angle_beta 90.00
_cell_angle_gamma 90.00
loop_
_symmetry_equiv_pos_as_xyz
'x,y,z'
loop_
_atom_site_label
_atom_site_fract_x
_atom_site_fract_y
_atom_site_fract_z
Sn1 0.0000 0.3594 0.8594
Cd1 0.5000 0.8444 0.3444
Sn2 0.0000 0.6406 0.1406
Cd2 0.5000 0.6556 0.8444
Sn3 0.0000 0.8594 0.6406
Sn4 0.0000 0.1406 0.3594
Cd3 0.5000 0.3444 0.1556
Cd4 0.5000 0.1556 0.6556
Na1 0.0000 0.5000 0.5000
Na2 0.0000 0.0000 0.0000
```

Energy   -2.47 eV/atom
Energy relative to the elements   -0.010 eV/atom
Distance to the lowest polymorph of the same formula   70 meV per atom
DOS(E_F)   2.14 states/eV/f.u.

Compound: NaCd2TcSn
Source: the Alexandria database
Functional: PBEsol
Structure: relaxed

The structure in CIF format:
```
data_NaCd2TcSn
_chemical_formula_sum 'Na1 Cd2 Tc1 Sn1'
_symmetry_space_group_name_H-M 'P 1'
_symmetry_Int_Tables_number 1
_cell_length_a 5.1480
_cell_length_b 5.1480
_cell_length_c 5.2031
_cell_angle_alpha 90.00
_cell_angle_beta 90.00
_cell_angle_gamma 90.00
loop_
_symmetry_equiv_pos_as_xyz
'x,y,z'
loop_
_atom_site_label
_atom_site_fract_x
_atom_site_fract_y
_atom_site_fract_z
Tc1 0.0000 0.0000 0.0000
Cd1 0.0000 0.5000 0.0000
Cd2 0.5000 0.0000 0.0000
Na1 0.0000 0.0000 0.5000
Sn1 0.5000 0.5000 0.5000
```

Energy   -2.80 eV/atom
Energy relative to the elements   1.068 eV/atom
DOS(E_F)   3.77 states/eV/f.u.

Compound: Na2SrCd2
Source: the Alexandria database
Functional: PBEsol
Structure: relaxed

The structure in CIF format:
```
data_Na2SrCd2
_chemical_formula_sum 'Na2 Sr1 Cd2'
_symmetry_space_group_name_H-M 'P 1'
_symmetry_Int_Tables_number 1
_cell_length_a 4.5811
_cell_length_b 4.5811
_cell_length_c 7.9692
_cell_angle_alpha 106.70
_cell_angle_beta 106.70
_cell_angle_gamma 90.00
loop_
_symmetry_equiv_pos_as_xyz
'x,y,z'
loop_
_atom_site_label
_atom_site_fract_x
_atom_site_fract_y
_atom_site_fract_z
Na1 0.7500 0.2500 0.5000
Na2 0.2500 0.7500 0.5000
Cd1 0.4031 0.4031 0.8061
Cd2 0.5969 0.5969 0.1939
Sr1 0.0000 0.0000 0.0000
```

Energy   -1.51 eV/atom
Energy relative to the elements   -0.108 eV/atom
DOS(E_F)   3.02 states/eV/f.u.

Compound: NaCd2TcW
Source: the Alexandria database
Functional: PBEsol
Structure: relaxed

The structure in CIF format:
```
data_NaCd2TcW
_chemical_formula_sum 'Na1 Cd2 Tc1 W1'
_symmetry_space_group_name_H-M 'P 1'
_symmetry_Int_Tables_number 1
_cell_length_a 4.5036
_cell_length_b 4.5036
_cell_length_c 4.9062
_cell_angle_alpha 90.00
_cell_angle_beta 90.00
_cell_angle_gamma 90.00
loop_
_symmetry_equiv_pos_as_xyz
'x,y,z'
loop_
_atom_site_label
_atom_site_fract_x
_atom_site_fract_y
_atom_site_fract_z
Na1 0.0000 0.0000 0.0000
Cd1 0.0000 0.5000 0.0000
Tc1 0.5000 0.5000 0.5000
Cd2 0.5000 0.0000 0.0000
W1 0.0000 0.0000 0.5000
```

Energy   -3.45 eV/atom
Energy relative to the elements   2.328 eV/atom
DOS(E_F)   4.40 states/eV/f.u.

Compound: NaCdTe3
Source: the Alexandria database
Functional: PBEsol
Structure: relaxed

The structure in CIF format:
```
data_NaCdTe3
_chemical_formula_sum 'Na1 Cd1 Te3'
_symmetry_space_group_name_H-M 'P 1'
_symmetry_Int_Tables_number 1
_cell_length_a 5.5967
_cell_length_b 5.5967
_cell_length_c 5.5967
_cell_angle_alpha 90.00
_cell_angle_beta 90.00
_cell_angle_gamma 90.00
loop_
_symmetry_equiv_pos_as_xyz
'x,y,z'
loop_
_atom_site_label
_atom_site_fract_x
_atom_site_fract_y
_atom_site_fract_z
Na1 0.5000 0.5000 0.5000
Te1 0.5000 0.0000 0.0000
Te2 0.0000 0.5000 0.0000
Te3 0.0000 0.0000 0.5000
Cd1 0.0000 0.0000 0.0000
```

Formation energy from raw total energies   0.105 eV/atom
Energy   -2.53 eV/atom
DOS(E_F)   5.74 states/eV/f.u.

Compound: NaCd3Te
Source: the Alexandria database
Functional: PBEsol
Structure: relaxed

The structure in CIF format:
```
data_NaCd3Te
_chemical_formula_sum 'Na1 Cd3 Te1'
_symmetry_space_group_name_H-M 'P 1'
_symmetry_Int_Tables_number 1
_cell_length_a 5.6770
_cell_length_b 5.6770
_cell_length_c 5.6770
_cell_angle_alpha 90.00
_cell_angle_beta 90.00
_cell_angle_gamma 90.00
loop_
_symmetry_equiv_pos_as_xyz
'x,y,z'
loop_
_atom_site_label
_atom_site_fract_x
_atom_site_fract_y
_atom_site_fract_z
Cd1 0.0000 0.0000 0.5000
Cd2 0.5000 0.0000 0.0000
Na1 0.5000 0.5000 0.5000
Cd3 0.0000 0.5000 0.0000
Te1 0.0000 0.0000 0.0000
```

Formation energy from raw total energies   0.376 eV/atom
Energy   -1.33 eV/atom
DOS(E_F)   3.69 states/eV/f.u.

Compound: NaCdTe2
Source: the Alexandria database
Functional: PBEsol
Structure: relaxed

The structure in CIF format:
```
data_NaCdTe2
_chemical_formula_sum 'Na1 Cd1 Te2'
_symmetry_space_group_name_H-M 'P 1'
_symmetry_Int_Tables_number 1
_cell_length_a 3.3062
_cell_length_b 3.3062
_cell_length_c 11.4428
_cell_angle_alpha 81.69
_cell_angle_beta 81.69
_cell_angle_gamma 60.00
loop_
_symmetry_equiv_pos_as_xyz
'x,y,z'
loop_
_atom_site_label
_atom_site_fract_x
_atom_site_fract_y
_atom_site_fract_z
Na1 0.5000 0.5000 0.5000
Te1 0.0924 0.0924 0.7228
Te2 0.9076 0.9076 0.2772
Cd1 0.0000 0.0000 0.0000
```

Formation energy from raw total energies   -0.121 eV/atom
Energy   -2.53 eV/atom
DOS(E_F)   2.17 states/eV/f.u.

Compound: NaTiCd2Te
Source: the Alexandria database
Functional: PBEsol
Structure: relaxed

The structure in CIF format:
```
data_NaTiCd2Te
_chemical_formula_sum 'Na1 Ti1 Cd2 Te1'
_symmetry_space_group_name_H-M 'P 1'
_symmetry_Int_Tables_number 1
_cell_length_a 5.3980
_cell_length_b 5.5646
_cell_length_c 5.5646
_cell_angle_alpha 90.00
_cell_angle_beta 90.00
_cell_angle_gamma 90.00
loop_
_symmetry_equiv_pos_as_xyz
'x,y,z'
loop_
_atom_site_label
_atom_site_fract_x
_atom_site_fract_y
_atom_site_fract_z
Ti1 0.5000 0.5000 0.5000
Na1 0.5000 0.0000 0.0000
Cd1 0.0000 0.5000 0.0000
Cd2 0.0000 0.0000 0.5000
Te1 0.0000 0.0000 0.0000
```

Formation energy from raw total energies   0.856 eV/atom
Energy   -2.27 eV/atom
DOS(E_F)   9.46 states/eV/f.u.

Compound: Na2TlCdTe
Source: the Alexandria database
Functional: PBEsol
Structure: relaxed

The structure in CIF format:
```
data_Na2TlCdTe
_chemical_formula_sum 'Na2 Tl1 Cd1 Te1'
_symmetry_space_group_name_H-M 'P 1'
_symmetry_Int_Tables_number 1
_cell_length_a 5.5966
_cell_length_b 5.9192
_cell_length_c 5.9192
_cell_angle_alpha 90.00
_cell_angle_beta 90.00
_cell_angle_gamma 90.00
loop_
_symmetry_equiv_pos_as_xyz
'x,y,z'
loop_
_atom_site_label
_atom_site_fract_x
_atom_site_fract_y
_atom_site_fract_z
Tl1 0.0000 0.0000 0.0000
Na1 0.0000 0.0000 0.5000
Cd1 0.5000 0.5000 0.5000
Na2 0.0000 0.5000 0.0000
Te1 0.5000 0.0000 0.0000
```

Formation energy from raw total energies   0.180 eV/atom
Energy   -1.85 eV/atom
DOS(E_F)   1.90 states/eV/f.u.

Compound: Na2Tl2Cd
Source: the Alexandria database
Functional: PBEsol
Structure: relaxed

The structure in CIF format:
```
data_Na2Tl2Cd
_chemical_formula_sum 'Na4 Tl4 Cd2'
_symmetry_space_group_name_H-M 'P 1'
_symmetry_Int_Tables_number 1
_cell_length_a 4.3064
_cell_length_b 7.8955
_cell_length_c 7.8955
_cell_angle_alpha 90.00
_cell_angle_beta 90.00
_cell_angle_gamma 90.00
loop_
_symmetry_equiv_pos_as_xyz
'x,y,z'
loop_
_atom_site_label
_atom_site_fract_x
_atom_site_fract_y
_atom_site_fract_z
Tl1 0.0000 0.3605 0.8605
Cd1 0.0000 0.0000 0.0000
Tl2 0.0000 0.1395 0.3605
Na1 0.5000 0.8363 0.3363
Cd2 0.0000 0.5000 0.5000
Tl3 0.0000 0.8605 0.6395
Na2 0.5000 0.1637 0.6637
Na3 0.5000 0.6637 0.8363
Na4 0.5000 0.3363 0.1637
Tl4 0.0000 0.6395 0.1395
```

Energy   -1.88 eV/atom
Energy relative to the elements   -0.029 eV/atom
DOS(E_F)   2.56 states/eV/f.u.

Compound: NaTl3Cd
Source: the Alexandria database
Functional: PBEsol
Structure: relaxed

The structure in CIF format:
```
data_NaTl3Cd
_chemical_formula_sum 'Na1 Tl3 Cd1'
_symmetry_space_group_name_H-M 'P 1'
_symmetry_Int_Tables_number 1
_cell_length_a 5.5738
_cell_length_b 5.5738
_cell_length_c 5.5738
_cell_angle_alpha 90.00
_cell_angle_beta 90.00
_cell_angle_gamma 90.00
loop_
_symmetry_equiv_pos_as_xyz
'x,y,z'
loop_
_atom_site_label
_atom_site_fract_x
_atom_site_fract_y
_atom_site_fract_z
Tl1 0.0000 0.5000 0.0000
Cd1 0.0000 0.0000 0.0000
Na1 0.5000 0.5000 0.5000
Tl2 0.0000 0.0000 0.5000
Tl3 0.5000 0.0000 0.0000
```

Energy   -1.86 eV/atom
Energy relative to the elements   0.234 eV/atom
DOS(E_F)   3.06 states/eV/f.u.

Compound: NaY2Cd2
Source: the Alexandria database
Functional: PBEsol
Structure: relaxed

The structure in CIF format:
```
data_NaY2Cd2
_chemical_formula_sum 'Na1 Y2 Cd2'
_symmetry_space_group_name_H-M 'P 1'
_symmetry_Int_Tables_number 1
_cell_length_a 4.5328
_cell_length_b 4.5328
_cell_length_c 7.8115
_cell_angle_alpha 106.87
_cell_angle_beta 106.87
_cell_angle_gamma 90.00
loop_
_symmetry_equiv_pos_as_xyz
'x,y,z'
loop_
_atom_site_label
_atom_site_fract_x
_atom_site_fract_y
_atom_site_fract_z
Cd1 0.4036 0.4036 0.8072
Na1 0.0000 0.0000 0.0000
Y1 0.7500 0.2500 0.5000
Y2 0.2500 0.7500 0.5000
Cd2 0.5964 0.5964 0.1928
```

Energy   -3.40 eV/atom
Energy relative to the elements   0.088 eV/atom
DOS(E_F)   4.54 states/eV/f.u.